A plane-wave DFT calculation with GGA-PBE was carried out for YCuSb after structural relaxation.

abc: 4.3348 4.3348 4.1210
angles: 90.00 90.00 120.00
Atoms (fractional coordinates):
1 Y 0.6667 0.3333 0.6751
2 Sb 0.3333 0.6667 0.1810
3 Cu 0.0000 0.0000 0.1439

Values from the calculation:
total moment = 0.000 μB per cell
D(E_F) = 0.50 states/eV per atom
raw total energy = -16.76 eV per formula unit

A plane-wave DFT calculation with GGA-PBE was carried out for Y2CuSb after structural relaxation.

abc: 8.0516 4.9783 3.9102
angles: 89.98 60.97 128.18
Atoms (fractional coordinates):
1 Cu 0.0000 0.5000 0.5000
2 Sb 0.5000 0.5000 0.0000
3 Y 0.0000 0.0000 0.0000
4 Y 0.5000 0.0000 0.5000

Values from the calculation:
total moment = 0.001 μB per cell
D(E_F) = 0.90 states/eV per atom
raw total energy = -23.27 eV per formula unit